# 1
Here is a relaxed PrSi2NiAu crystal from OQMD. Energies are from PBE.

```
PrSi2NiAu
1.0
-2.0956 2.0956 5.0552
2.0956 -2.0956 5.0552
2.0956 2.0956 -5.0552
Pr Si Ni Au
1 2 1 1
Cartesian
0.0000 0.0000 0.0000 Pr
0.0000 0.0000 3.8553 Si
0.0000 0.0000 6.2552 Si
2.0956 0.0000 2.5276 Ni
0.0000 2.0956 2.5276 Au
```

magnetic moment: 0.003 μB/f.u.
total DFT energy (no corrections): -5.5700 eV/atom

# 2
Here is a relaxed SiNiPtAu crystal from OQMD. Energies are from PBE.

```
SiNiPtAu
1.0
0.0000 3.0706 3.0706
3.0706 0.0000 3.0706
3.0706 3.0706 0.0000
Si Ni Pt Au
1 1 1 1
Cartesian
0.0000 0.0000 0.0000 Si
1.5353 1.5353 1.5353 Ni
4.6059 4.6059 4.6059 Pt
3.0706 3.0706 3.0706 Au
```

magnetic moment: 0.001 μB/f.u.
total DFT energy (no corrections): -5.1465 eV/atom

# 3
Here is a relaxed NiSnPtAu crystal from OQMD. Energies are from PBE.

```
NiSnPtAu
1.0
0.0000 3.2039 3.2039
3.2039 0.0000 3.2039
3.2039 3.2039 0.0000
Ni Sn Pt Au
1 1 1 1
Cartesian
0.0000 0.0000 0.0000 Ni
4.8058 4.8058 4.8058 Sn
3.2039 3.2039 3.2039 Pt
1.6019 1.6019 1.6019 Au
```

magnetic moment: 0.002 μB/f.u.
total DFT energy (no corrections): -4.8693 eV/atom

# 4
Here is a relaxed Zr3Zn3NiPtAu crystal from OQMD. Energies are from PBE.

```
Zr3Zn3NiPtAu
1.0
7.2038 0.0000 0.0000
-3.6019 6.2387 0.0000
0.0000 0.0000 3.4651
Zr Zn Ni Pt Au
3 3 1 1 1
Cartesian
-0.6825 2.1425 0.0000 Zr
-1.4052 5.7585 0.0000 Zr
2.0877 4.5764 0.0000 Zr
1.6155 2.1208 1.7325 Zn
4.5594 0.3387 1.7325 Zn
4.6308 3.7793 1.7325 Zn
0.0000 4.1591 1.7325 Ni
0.0000 0.0000 1.7325 Pt
3.6019 2.0796 0.0000 Au
```

magnetic moment: 0.007 μB/f.u.
total DFT energy (no corrections): -5.5075 eV/atom
ΔE_f: -0.582 eV/atom